(1)
Entry from Alexandria via LeMat-Bulk: a geometry-optimized TlOs4Se structure (PBE).

Results
* raw formation energy: 1238 meV/atom
* E: -43.3 eV for the cell shown

abc: 5.286 5.286 5.286
angles: 60.00 60.00 60.00
Fractional coordinates of all 6 atoms:
Tl (0.000, 0.000, 0.000)
Os (0.873, 0.376, 0.376)
Os (0.376, 0.376, 0.376)
Os (0.376, 0.873, 0.376)
Os (0.376, 0.376, 0.873)
Se (0.750, 0.750, 0.750)



(2)
Entry from Alexandria via LeMat-Bulk: a geometry-optimized Tm7OsSe5 structure (PBE).

Results
* raw formation energy: -1447 meV/atom
* E: -157.5 eV for the cell shown

abc: 3.927 6.926 24.073
angles: 89.99 90.00 106.47
Fractional coordinates of all 26 atoms:
Se (0.280, 0.560, 0.428)
Se (0.557, 0.114, 0.142)
Tm (0.099, 0.198, 0.629)
Tm (0.794, 0.588, 0.684)
Tm (0.540, 0.079, 0.750)
Tm (0.639, 0.278, 0.036)
Se (0.721, 0.442, 0.572)
Tm (0.639, 0.278, 0.464)
Os (0.186, 0.372, 0.750)
Tm (0.461, 0.921, 0.250)
Tm (0.205, 0.410, 0.317)
Tm (0.100, 0.199, 0.870)
Se (0.445, 0.889, 0.642)
Se (0.001, 0.001, 0.500)
Se (0.000, 0.000, 0.000)
Tm (0.900, 0.801, 0.370)
Se (0.555, 0.110, 0.358)
Se (0.721, 0.442, 0.928)
Tm (0.795, 0.590, 0.816)
Os (0.814, 0.629, 0.251)
Tm (0.207, 0.415, 0.184)
Se (0.445, 0.890, 0.858)
Tm (0.903, 0.806, 0.128)
Tm (0.361, 0.722, 0.964)
Tm (0.361, 0.723, 0.536)
Se (0.279, 0.558, 0.072)



(3)
Entry from Alexandria via LeMat-Bulk: a geometry-optimized VOsSe structure (PBE).

Results
* raw formation energy: -98 meV/atom
* E: -96.5 eV for the cell shown
* excess energy over the best structure of this formula in the dataset: 3 meV/atom

abc: 2.991 5.836 11.090
angles: 90.00 90.00 90.00
Fractional coordinates of all 12 atoms:
V (0.500, 0.748, 0.313)
Se (0.500, 0.500, 0.630)
Se (0.500, 0.000, 0.130)
V (0.500, 0.752, 0.813)
V (0.500, 0.248, 0.813)
Se (0.000, 0.000, 0.673)
Se (0.000, 0.500, 0.173)
Os (0.000, 0.000, 0.438)
V (0.500, 0.252, 0.313)
Os (0.000, 0.500, 0.938)
Os (0.000, 0.000, 0.950)
Os (0.000, 0.500, 0.450)



(4)
Entry from Alexandria via LeMat-Bulk: a geometry-optimized VOsSe4 structure (PBE).

Results
* raw formation energy: -455 meV/atom
* E: -37.0 eV for the cell shown
* excess energy over the best structure of this formula in the dataset: 0 meV/atom

abc: 3.341 7.313 5.829
angles: 100.37 90.00 103.21
Site moments in Bohr magnetons follow the coordinates.
Fractional coordinates of all 6 atoms:
Se (0.873, 0.745, 0.619)  0.03
Se (0.403, 0.807, 0.127)  0.01
V (0.005, 0.011, 0.941)  0.04
Os (0.495, 0.990, 0.549)  0.52
Se (0.627, 0.255, 0.893)  0.00
Se (0.096, 0.192, 0.370)  0.05



(5)
Entry from Alexandria via LeMat-Bulk: a geometry-optimized V2OsSe structure (PBE).

Results
* raw formation energy: 498 meV/atom
* E: -61.9 eV for the cell shown

abc: 5.666 5.666 6.746
angles: 65.17 65.17 90.00
Site moments in Bohr magnetons follow the coordinates.
Fractional coordinates of all 8 atoms:
Se (0.500, 0.500, 0.000)  -0.06
Os (0.750, 0.250, 0.500)  -0.47
V (0.112, 0.625, 0.250)  1.63
V (0.375, 0.362, 0.750)  1.63
V (0.875, 0.888, 0.750)  1.63
Se (0.250, 0.750, 0.500)  -0.06
V (0.638, 0.125, 0.250)  1.63
Os (0.000, 0.000, 0.000)  -0.47



(6)
Entry from Alexandria via LeMat-Bulk: a geometry-optimized VOsSe structure (PBE).

Results
* raw formation energy: -74 meV/atom
* E: -96.2 eV for the cell shown
* excess energy over the best structure of this formula in the dataset: 27 meV/atom

abc: 6.371 3.015 11.306
angles: 90.00 117.89 90.00
Fractional coordinates of all 12 atoms:
V (0.264, 0.000, 0.449)
Os (0.005, 0.000, 0.014)
Os (0.005, 0.500, 0.514)
Se (0.622, 0.000, 0.047)
Os (0.784, 0.000, 0.298)
Os (0.784, 0.500, 0.798)
Se (0.348, 0.000, 0.246)
V (0.028, 0.000, 0.731)
V (0.264, 0.500, 0.949)
Se (0.622, 0.500, 0.547)
Se (0.348, 0.500, 0.746)
V (0.028, 0.500, 0.231)



(7)
Entry from Alexandria via LeMat-Bulk: a geometry-optimized VOsSe2 structure (PBE).

Results
* raw formation energy: 51 meV/atom
* E: -27.1 eV for the cell shown
* excess energy over the best structure of this formula in the dataset: 0 meV/atom

abc: 8.358 8.358 8.358
angles: 21.05 21.05 21.05
Fractional coordinates of all 4 atoms:
Se (0.903, 0.903, 0.903)
Se (0.097, 0.097, 0.097)
Os (0.000, 0.000, 0.000)
V (0.500, 0.500, 0.500)



(8)
Entry from Alexandria via LeMat-Bulk: a geometry-optimized VOsSe structure (PBE).

Results
* raw formation energy: -1 meV/atom
* E: -23.8 eV for the cell shown
* excess energy over the best structure of this formula in the dataset: 101 meV/atom

abc: 2.968 2.966 6.372
angles: 76.90 76.96 60.33
Fractional coordinates of all 3 atoms:
Se (0.809, 0.324, 0.897)
V (0.387, 0.899, 0.182)
Os (0.946, 0.461, 0.487)



(9)
Entry from Alexandria via LeMat-Bulk: a geometry-optimized VOsSe2 structure (PBE).

Results
* raw formation energy: 477 meV/atom
* E: -25.4 eV for the cell shown
* excess energy over the best structure of this formula in the dataset: 426 meV/atom

abc: 8.121 8.121 8.121
angles: 25.44 25.44 25.44
Site moments in Bohr magnetons follow the coordinates.
Fractional coordinates of all 4 atoms:
V (0.000, 0.000, 0.000)  2.74
Se (0.106, 0.106, 0.106)  -0.08
Os (0.500, 0.500, 0.500)  -0.56
Se (0.894, 0.894, 0.894)  -0.08



(10)
Entry from Alexandria via LeMat-Bulk: a geometry-optimized VOsSe structure (PBE).

Results
* raw formation energy: -24 meV/atom
* E: -95.6 eV for the cell shown
* excess energy over the best structure of this formula in the dataset: 77 meV/atom

abc: 2.972 6.539 10.307
angles: 90.00 90.00 90.00
Fractional coordinates of all 12 atoms:
Os (0.000, 0.295, 0.130)
Se (0.000, 0.000, 0.978)
V (0.500, 0.000, 0.779)
Se (0.000, 0.000, 0.426)
Os (0.000, 0.205, 0.630)
Os (0.000, 0.705, 0.130)
V (0.500, 0.000, 0.239)
V (0.500, 0.500, 0.739)
Se (0.000, 0.500, 0.926)
V (0.500, 0.500, 0.279)
Os (0.000, 0.795, 0.630)
Se (0.000, 0.500, 0.478)



(11)
Entry from Alexandria via LeMat-Bulk: a geometry-optimized VOs2Se structure (PBE).

Results
* raw formation energy: 824 meV/atom
* E: -63.5 eV for the cell shown

abc: 5.406 5.406 6.803
angles: 66.59 66.59 90.00
Fractional coordinates of all 8 atoms:
Se (0.000, 0.000, 0.000)
Os (0.619, 0.125, 0.250)
Os (0.875, 0.869, 0.750)
Os (0.375, 0.381, 0.750)
Se (0.750, 0.250, 0.500)
Os (0.131, 0.625, 0.250)
V (0.500, 0.500, 0.000)
V (0.250, 0.750, 0.500)



(12)
Entry from Alexandria via LeMat-Bulk: a geometry-optimized VOsSe2 structure (PBE).

Results
* raw formation energy: 231 meV/atom
* E: -52.8 eV for the cell shown
* excess energy over the best structure of this formula in the dataset: 180 meV/atom

abc: 5.493 5.493 6.958
angles: 66.75 66.75 90.00
Site moments in Bohr magnetons follow the coordinates.
Fractional coordinates of all 8 atoms:
Se (0.631, 0.125, 0.250)  -0.05
V (0.500, 0.500, 0.000)  1.92
Os (0.000, 0.000, 0.000)  -0.10
V (0.250, 0.750, 0.500)  1.92
Se (0.875, 0.881, 0.750)  -0.05
Os (0.750, 0.250, 0.500)  -0.10
Se (0.375, 0.369, 0.750)  -0.05
Se (0.119, 0.625, 0.250)  -0.05



Please write out number 1 again, unchanged.
Entry from Alexandria via LeMat-Bulk: a geometry-optimized TlOs4Se structure (PBE).

Results
* raw formation energy: 1238 meV/atom
* E: -43.3 eV for the cell shown

abc: 5.286 5.286 5.286
angles: 60.00 60.00 60.00
Fractional coordinates of all 6 atoms:
Tl (0.000, 0.000, 0.000)
Os (0.873, 0.376, 0.376)
Os (0.376, 0.376, 0.376)
Os (0.376, 0.873, 0.376)
Os (0.376, 0.376, 0.873)
Se (0.750, 0.750, 0.750)



Number 10 is which compound?
VOsSe



Please write out number 12 again, unchanged.
Entry from Alexandria via LeMat-Bulk: a geometry-optimized VOsSe2 structure (PBE).

Results
* raw formation energy: 231 meV/atom
* E: -52.8 eV for the cell shown
* excess energy over the best structure of this formula in the dataset: 180 meV/atom

abc: 5.493 5.493 6.958
angles: 66.75 66.75 90.00
Site moments in Bohr magnetons follow the coordinates.
Fractional coordinates of all 8 atoms:
Se (0.631, 0.125, 0.250)  -0.05
V (0.500, 0.500, 0.000)  1.92
Os (0.000, 0.000, 0.000)  -0.10
V (0.250, 0.750, 0.500)  1.92
Se (0.875, 0.881, 0.750)  -0.05
Os (0.750, 0.250, 0.500)  -0.10
Se (0.375, 0.369, 0.750)  -0.05
Se (0.119, 0.625, 0.250)  -0.05



Which value of E does entry 7 give?
-27.1 eV for the cell shown